Entry from the Alexandria database: a relaxed Be2ZnSiRu crystal (PBE-GGA).

abc: 3.945 3.945 4.665
angles: 90.00 90.00 90.00
Sites, in units of the cell vectors:
Be 0.000 0.500 0.000
Be 0.500 0.000 0.000
Zn 0.000 0.000 0.000
Si 0.500 0.500 0.500
Ru 0.000 0.000 0.500

Magnetic moment = 0.0 μB/f.u.
Formation energy from raw total energies = 23.03 kcal/mol of atoms
V = 72.62 Å³ per cell